## CaTmPd (PBE)

Data for a relaxed structure of CaTmPd.

Computed properties:
- excess energy over the best structure of this formula in the dataset (eV per atom) = 0.1056
- space group = P1
- total magnetization (μB per formula unit) = 0.000
- density (g/cm3) = 5.9
- calculated formation energy (eV per atom) = -0.45

abc: 3.9302 3.9327 13.5095
angles: 81.62 90.01 60.06
Last column: nearest neighbours and their distance in Å.
Positions (direct):
1 Tm 0.5318 0.6364 0.1997  3 Pd 2.74
2 Tm 0.2806 0.1394 0.4465  6 Pd 2.85-2.87
3 Ca 0.1224 0.4533 0.9674  3 Tm 3.83-3.84, 9 Ca 3.93-4.02
4 Ca 0.3713 0.9577 0.7186  3 Pd 2.96
5 Pd 0.6570 0.3868 0.5756  3 Tm 2.85, 3 Ca 2.96
6 Pd 0.9035 0.8933 0.3152  6 Tm 2.74-2.87